[1]
Here is a relaxed structure of LuNiGe from the Alexandria database. Energies are from GGA-PBE.

The structure in CIF format:
```
data_LuNiGe
_chemical_formula_sum 'Lu16 Ni16 Ge16'
_cell_length_a 4.136
_cell_length_b 21.980
_cell_length_c 9.162
_cell_angle_alpha 90.00
_cell_angle_beta 90.00
_cell_angle_gamma 90.00
_symmetry_space_group_name_H-M 'C m c m'
_symmetry_Int_Tables_number 63
_symmetry_space_group_name_Hall '-C 2c 2'
loop_
_atom_site_label
_atom_site_fract_x
_atom_site_fract_y
_atom_site_fract_z
_atom_site_occupancy
Lu1 0.000 0.083 0.059 1
Lu2 0.000 0.226 0.250 1
Lu3 0.000 0.385 0.250 1
Ni1 0.000 0.311 0.517 1
Ni2 0.000 0.473 0.750 1
Ni3 0.000 0.500 0.000 1
Ge1 0.000 0.026 0.750 1
Ge2 0.000 0.201 0.602 1
Ge3 0.000 0.365 0.750 1
```

Properties
theoretical density: 9.770 g cm⁻³


[2]
Here is a relaxed structure of LuNiGe from the Alexandria database. Energies are from GGA-PBE.

The structure in CIF format:
```
data_LuNiGe
_chemical_formula_sum 'Lu4 Ni4 Ge4'
_cell_length_a 6.757
_cell_length_b 4.182
_cell_length_c 7.212
_cell_angle_alpha 90.00
_cell_angle_beta 90.00
_cell_angle_gamma 90.00
_symmetry_space_group_name_H-M 'P n m a'
_symmetry_Int_Tables_number 62
loop_
_symmetry_equiv_pos_as_xyz
'x,y,z'
'-x,-y,-z'
'-x+1/2,-y,z+1/2'
'x+1/2,y,-z+1/2'
'x+1/2,-y+1/2,-z+1/2'
'-x+1/2,y+1/2,z+1/2'
'-x,y+1/2,-z'
'x,-y+1/2,z'
loop_
_atom_site_label
_atom_site_fract_x
_atom_site_fract_y
_atom_site_fract_z
_atom_site_occupancy
Lu1 0.007 0.250 0.206 1
Ni1 0.194 0.750 0.419 1
Ge1 0.198 0.250 0.589 1
```

Properties
theoretical density: 9.983 g cm⁻³


[3]
Here is a relaxed structure of LuNiGe from the Alexandria database. Energies are from GGA-PBE.

The structure in CIF format:
```
data_LuNiGe
_chemical_formula_sum 'Lu1 Ni1 Ge1'
_cell_length_a 4.1816
_cell_length_b 4.1816
_cell_length_c 3.4350
_cell_angle_alpha 90.00
_cell_angle_beta 90.00
_cell_angle_gamma 120.00
_symmetry_space_group_name_H-M 'P -6 m 2'
_symmetry_Int_Tables_number 187
_symmetry_space_group_name_Hall 'P -6 2'
loop_
_atom_site_label
_atom_site_fract_x
_atom_site_fract_y
_atom_site_fract_z
_atom_site_occupancy
Lu1 0.0000 0.0000 0.0000 1
Ni1 0.3333 0.6667 0.5000 1
Ge1 0.6667 0.3333 0.5000 1
```

Properties
theoretical density: 9.778 g cm⁻³


[4]
Here is a relaxed structure of LuNiGePd from the Alexandria database. Energies are from GGA-PBE.

The structure in CIF format:
```
data_LuNiGePd
_chemical_formula_sum 'Lu4 Ni4 Ge4 Pd4'
_cell_length_a 6.387
_cell_length_b 6.387
_cell_length_c 6.387
_cell_angle_alpha 90.00
_cell_angle_beta 90.00
_cell_angle_gamma 90.00
_symmetry_space_group_name_H-M 'F -4 3 m'
_symmetry_Int_Tables_number 216
_symmetry_space_group_name_Hall 'F -4 2 3'
loop_
_atom_site_label
_atom_site_fract_x
_atom_site_fract_y
_atom_site_fract_z
_atom_site_occupancy
Lu1 0.000 0.000 0.000 1
Ni1 0.250 0.250 0.750 1
Ge1 0.000 0.000 0.500 1
Pd1 0.250 0.250 0.250 1
```

Properties
theoretical density: 10.520 g cm⁻³


no.,N(E_F) (states/eV per cell),energy relative to the elements (eV per formula unit),total DFT energy (no corrections) (eV/atom)
1,29.61,-2.15,-5.690
2,6.36,-2.45,-5.789
3,1.30,-2.29,-5.736
4,11.23,-2.39,-5.627